Entry i
{
  "formula": "CsClF3",
  "functional": "GGA-PBE",
  "state": "optimized geometry",
  "cell": [[-2.8919, 4.6730, 4.0804], [2.8919, -4.6730, 4.0804], [2.8919, 4.6730, -4.0804]],
  "species": ["Cs", "Cs", "Cl", "Cl", "F", "F", "F", "F", "F", "F"],
  "fractional_positions": [[0.0000, 0.0000, 0.0000], [0.5000, 0.0000, 0.5000], [0.2714, 0.5214, 0.7500], [0.7286, 0.4786, 0.2500], [0.0439, 0.6564, 0.3876], [0.2312, 0.3436, 0.8876], [0.5000, 0.0000, 0.0000], [0.5000, 0.5000, 0.5000], [0.7688, 0.6564, 0.1124], [0.9561, 0.3436, 0.6124]],
  "sg": "Imma, No. 74"
}

Entry ii
{
  "formula": "CsClF3",
  "functional": "GGA-PBE",
  "state": "optimized geometry",
  "cell": [[5.0618, 0.0000, 0.0000], [0.0000, 5.0618, 0.0000], [0.0000, 0.0000, 5.0618]],
  "species": ["Cs", "Cl", "F", "F", "F"],
  "fractional_positions": [[0.0000, 0.0000, 0.0000], [0.5000, 0.5000, 0.5000], [0.0000, 0.0000, 0.5000], [0.0000, 0.5000, 0.0000], [0.5000, 0.0000, 0.0000]],
  "sg": "Pm-3m, No. 221"
}

Stability verdict: entry i, ahead by 541 meV per atom

Entry i
{
  "formula": "CsHgCl2F",
  "functional": "GGA-PBE",
  "state": "optimized geometry",
  "cell": [[5.4264, 0.0000, 0.0000], [0.0000, 5.4264, 0.0000], [0.0000, 0.0000, 4.6856]],
  "species": ["Cs", "Hg", "Cl", "Cl", "F"],
  "fractional_positions": [[0.0000, 0.0000, 0.0000], [0.5000, 0.5000, 0.5000], [0.0000, 0.5000, 0.5000], [0.5000, 0.0000, 0.5000], [0.5000, 0.5000, 0.0000]],
  "sg": "P4/mmm, No. 123"
}

Entry ii
{
  "formula": "CsHgCl2F",
  "functional": "GGA-PBE",
  "state": "optimized geometry",
  "cell": [[7.7250, 0.0000, 0.0000], [0.0000, 4.6307, 0.0000], [-2.3878, 0.0000, 8.5634]],
  "species": ["Cs", "Cs", "Hg", "Hg", "Cl", "Cl", "Cl", "Cl", "F", "F"],
  "fractional_positions": [[0.1310, 0.2500, 0.3215], [0.8690, 0.7500, 0.6785], [0.3894, 0.2500, 0.7928], [0.6106, 0.7500, 0.2072], [0.3049, 0.7500, 0.0457], [0.3877, 0.7500, 0.6204], [0.6123, 0.2500, 0.3796], [0.6951, 0.2500, 0.9543], [0.1030, 0.2500, 0.7010], [0.8970, 0.7500, 0.2990]],
  "sg": "P2_1/m, No. 11"
}

Stability verdict: entry ii, ahead by 40 meV per atom

Entry i
{
  "formula": "CsP2ClF",
  "functional": "GGA-PBE",
  "state": "optimized geometry",
  "cell": [[4.4941, 0.0000, 0.0000], [0.0000, 4.4941, 0.0000], [0.0000, 0.0000, 7.1578]],
  "species": ["Cs", "P", "P", "Cl", "F"],
  "fractional_positions": [[0.0000, 0.0000, 0.0000], [0.0000, 0.5000, 0.5000], [0.5000, 0.0000, 0.5000], [0.5000, 0.5000, 0.0000], [0.5000, 0.5000, 0.5000]],
  "sg": "P4/mmm, No. 123"
}

Entry ii
{
  "formula": "CsP2ClF",
  "functional": "GGA-PBE",
  "state": "optimized geometry",
  "cell": [[5.7884, 0.0000, 0.0000], [0.0000, 5.7884, 0.0000], [0.0000, 0.0000, 5.8038]],
  "species": ["Cs", "P", "P", "Cl", "F"],
  "fractional_positions": [[0.0000, 0.0000, 0.0000], [0.0000, 0.5000, 0.0000], [0.5000, 0.0000, 0.0000], [0.0000, 0.0000, 0.5000], [0.5000, 0.5000, 0.5000]],
  "sg": "P4/mmm, No. 123"
}

Stability verdict: entry i, ahead by 1252 meV per atom

Entry i
{
  "formula": "Cs2ReClF6",
  "functional": "GGA-PBE",
  "state": "optimized geometry",
  "cell": [[0.0000, 4.9845, 4.9845], [4.9845, 0.0000, 4.9845], [4.9845, 4.9845, 0.0000]],
  "species": ["Cs", "Cs", "Re", "Cl", "F", "F", "F", "F", "F", "F"],
  "fractional_positions": [[0.2500, 0.2500, 0.2500], [0.7500, 0.7500, 0.7500], [0.0000, 0.0000, 0.0000], [0.5000, 0.5000, 0.5000], [0.1939, 0.1939, 0.8061], [0.1939, 0.8061, 0.1939], [0.1939, 0.8061, 0.8061], [0.8061, 0.1939, 0.1939], [0.8061, 0.1939, 0.8061], [0.8061, 0.8061, 0.1939]],
  "sg": "Fm-3m, No. 225"
}

Entry ii
{
  "formula": "Cs2ReClF6",
  "functional": "GGA-PBE",
  "state": "optimized geometry",
  "cell": [[5.5975, 0.0000, 0.0000], [-2.7565, 5.6182, 0.0000], [-0.0232, -3.4836, 7.5724]],
  "species": ["Cs", "Cs", "Re", "Cl", "F", "F", "F", "F", "F", "F"],
  "fractional_positions": [[0.2068, 0.4120, 0.1787], [0.7932, 0.5880, 0.8213], [0.0000, 0.0000, 0.5000], [0.5000, 0.0000, 0.0000], [0.1113, 0.2270, 0.7515], [0.1304, 0.7831, 0.5362], [0.3472, 0.2146, 0.4662], [0.6528, 0.7854, 0.5338], [0.8696, 0.2169, 0.4638], [0.8887, 0.7730, 0.2485]],
  "sg": "P-1, No. 2"
}

Stability verdict: entry ii, ahead by 105 meV per atom

Entry i
{
  "formula": "CsS2ClF",
  "functional": "GGA-PBE",
  "state": "optimized geometry",
  "cell": [[4.4480, 0.0000, 0.0000], [0.0000, 4.4480, 0.0000], [0.0000, 0.0000, 7.2352]],
  "species": ["Cs", "S", "S", "Cl", "F"],
  "fractional_positions": [[0.0000, 0.0000, 0.0000], [0.0000, 0.5000, 0.5000], [0.5000, 0.0000, 0.5000], [0.5000, 0.5000, 0.0000], [0.5000, 0.5000, 0.5000]],
  "sg": "P4/mmm, No. 123"
}

Entry ii
{
  "formula": "CsS2ClF",
  "functional": "GGA-PBE",
  "state": "optimized geometry",
  "cell": [[5.7551, 0.0000, 0.0000], [0.0000, 5.7551, 0.0000], [0.0000, 0.0000, 5.9573]],
  "species": ["Cs", "S", "S", "Cl", "F"],
  "fractional_positions": [[0.0000, 0.0000, 0.0000], [0.0000, 0.5000, 0.0000], [0.5000, 0.0000, 0.0000], [0.0000, 0.0000, 0.5000], [0.5000, 0.5000, 0.5000]],
  "sg": "P4/mmm, No. 123"
}

Stability verdict: entry i, ahead by 941 meV per atom

Entry i
{
  "formula": "CsTlClF",
  "functional": "GGA-PBE",
  "state": "optimized geometry",
  "cell": [[7.7127, 0.0000, 0.0000], [0.0000, 7.7127, 0.0000], [0.0000, 0.0000, 7.7127]],
  "species": ["Cs", "Cs", "Cs", "Cs", "Tl", "Tl", "Tl", "Tl", "Cl", "Cl", "Cl", "Cl", "F", "F", "F", "F"],
  "fractional_positions": [[0.0000, 0.0000, 0.0000], [0.0000, 0.5000, 0.5000], [0.5000, 0.0000, 0.5000], [0.5000, 0.5000, 0.0000], [0.0000, 0.0000, 0.5000], [0.0000, 0.5000, 0.0000], [0.5000, 0.0000, 0.0000], [0.5000, 0.5000, 0.5000], [0.2500, 0.2500, 0.2500], [0.2500, 0.7500, 0.7500], [0.7500, 0.2500, 0.7500], [0.7500, 0.7500, 0.2500], [0.2500, 0.2500, 0.7500], [0.2500, 0.7500, 0.2500], [0.7500, 0.2500, 0.2500], [0.7500, 0.7500, 0.7500]],
  "sg": "F-43m, No. 216"
}

Entry ii
{
  "formula": "CsTlClF",
  "functional": "GGA-PBE",
  "state": "optimized geometry",
  "cell": [[4.3991, 0.0000, 0.0000], [1.6548, 4.0871, 0.0000], [0.9677, 0.7657, 7.7105]],
  "species": ["Cs", "Tl", "Cl", "F"],
  "fractional_positions": [[0.0000, 0.0000, 0.0000], [0.3922, 0.4041, 0.4588], [0.6929, 0.7049, 0.6807], [0.6230, 0.6112, 0.1766]],
  "sg": "P1, No. 1"
}

Stability verdict: entry ii, ahead by 130 meV per atom

Entry i
{
  "formula": "CsZnClF2",
  "functional": "GGA-PBE",
  "state": "optimized geometry",
  "cell": [[4.5130, 0.0000, 0.0000], [0.0000, 4.5130, 0.0000], [0.0000, 0.0000, 4.7765]],
  "species": ["Cs", "Zn", "Cl", "F", "F"],
  "fractional_positions": [[0.0000, 0.0000, 0.0000], [0.5000, 0.5000, 0.5000], [0.5000, 0.5000, 0.0000], [0.0000, 0.5000, 0.5000], [0.5000, 0.0000, 0.5000]],
  "sg": "P4/mmm, No. 123"
}

Entry ii
{
  "formula": "CsZnClF2",
  "functional": "GGA-PBE",
  "state": "optimized geometry",
  "cell": [[1.9868, -7.0757, 0.0000], [1.9868, 7.0757, 0.0000], [0.0000, 0.0000, 7.8746]],
  "species": ["Cs", "Cs", "Zn", "Zn", "Cl", "Cl", "F", "F", "F", "F"],
  "fractional_positions": [[0.2313, 0.7687, 0.7500], [0.7687, 0.2313, 0.2500], [0.5000, 0.5000, 0.0000], [0.5000, 0.5000, 0.5000], [0.0227, 0.9773, 0.2500], [0.9773, 0.0227, 0.7500], [0.3699, 0.6301, 0.0325], [0.3699, 0.6301, 0.4675], [0.6301, 0.3699, 0.5325], [0.6301, 0.3699, 0.9675]],
  "sg": "Cmcm, No. 63"
}

Stability verdict: entry ii, ahead by 81 meV per atom

Entry i
{
  "formula": "CsFe3Cl",
  "functional": "GGA-PBE",
  "state": "optimized geometry",
  "cell": [[5.0063, 0.0000, 0.0000], [0.0000, 5.0063, 0.0000], [0.0000, 0.0000, 5.0063]],
  "species": ["Cs", "Fe", "Fe", "Fe", "Cl"],
  "fractional_positions": [[0.0000, 0.0000, 0.0000], [0.0000, 0.0000, 0.5000], [0.0000, 0.5000, 0.0000], [0.5000, 0.0000, 0.0000], [0.5000, 0.5000, 0.5000]],
  "sg": "Pm-3m, No. 221"
}

Entry ii
{
  "formula": "CsFe3Cl",
  "functional": "GGA-PBE",
  "state": "optimized geometry",
  "cell": [[4.5470, 0.0000, 0.0000], [0.0000, 4.5470, 0.0000], [0.0000, 0.0000, 4.5470]],
  "species": ["Cs", "Fe", "Fe", "Fe", "Cl"],
  "fractional_positions": [[0.0000, 0.0000, 0.0000], [0.0000, 0.5000, 0.5000], [0.5000, 0.0000, 0.5000], [0.5000, 0.5000, 0.0000], [0.5000, 0.5000, 0.5000]],
  "sg": "Pm-3m, No. 221"
}

Stability verdict: entry ii, ahead by 1084 meV per atom